Entry 1:
First-principles (PBE) data for a relaxed structure of CsTcBi2, as listed in Alexandria.

Cell lengths 5.553, 5.553, 5.553 Å; angles 60.00, 60.00, 60.00 degrees
Atoms (fractional coordinates):
Cs (0.000, 0.000, 0.000)
Tc (0.500, 0.500, 0.500)
Bi (0.250, 0.250, 0.250)
Bi (0.750, 0.750, 0.750)

Space group   No. 225
Total DFT energy (no corrections)   -3.876 eV per atom
Energy of formation from the pure elements   0.87 eV per atom

Entry 2:
First-principles (PBE) data for a relaxed structure of CsBi2Te2, as listed in Alexandria.

Cell lengths 9.783, 9.783, 4.153 Å; angles 90.00, 90.00, 90.00 degrees
Atoms (fractional coordinates):
Cs (0.000, 0.000, 0.000)
Cs (0.500, 0.500, 0.000)
Bi (0.128, 0.372, 0.000)
Bi (0.372, 0.872, 0.000)
Bi (0.628, 0.128, 0.000)
Bi (0.872, 0.628, 0.000)
Te (0.218, 0.718, 0.500)
Te (0.282, 0.218, 0.500)
Te (0.718, 0.782, 0.500)
Te (0.782, 0.282, 0.500)

Relative energy among the computed polymorphs   14.5 kJ/mol of formula units
ΔE_f (raw)   -22.8 kJ/mol of atoms
Space group   No. 127
Total DFT energy (no corrections)   -3.216 eV per atom

Entry 3:
First-principles (PBE) data for a relaxed structure of CsBiTe2, as listed in Alexandria.

Cell lengths 9.278, 5.894, 13.500 Å; angles 90.00, 90.00, 90.00 degrees
Atoms (fractional coordinates):
Cs (0.156, 0.250, 0.142)
Cs (0.344, 0.750, 0.642)
Cs (0.656, 0.250, 0.358)
Cs (0.844, 0.750, 0.858)
Bi (0.063, 0.750, 0.389)
Bi (0.437, 0.250, 0.889)
Bi (0.563, 0.750, 0.111)
Bi (0.937, 0.250, 0.611)
Te (0.110, 0.250, 0.789)
Te (0.162, 0.250, 0.447)
Te (0.338, 0.750, 0.947)
Te (0.390, 0.750, 0.289)
Te (0.610, 0.250, 0.711)
Te (0.662, 0.250, 0.053)
Te (0.838, 0.750, 0.553)
Te (0.890, 0.750, 0.211)

ΔE_f (raw)   -56.2 kJ/mol of atoms
Space group   No. 62
Total DFT energy (no corrections)   -3.337 eV per atom

Entry 4:
First-principles (PBE) data for a relaxed structure of CsBiTe2, as listed in Alexandria.

Cell lengths 8.067, 6.263, 16.791 Å; angles 90.00, 92.43, 90.00 degrees
Atoms (fractional coordinates):
Cs (0.239, 0.039, 0.174)
Cs (0.239, 0.461, 0.674)
Cs (0.761, 0.539, 0.326)
Cs (0.761, 0.961, 0.826)
Bi (0.277, 0.546, 0.982)
Bi (0.277, 0.954, 0.482)
Bi (0.723, 0.046, 0.518)
Bi (0.723, 0.454, 0.018)
Te (0.012, 0.038, 0.372)
Te (0.012, 0.462, 0.872)
Te (0.360, 0.046, 0.950)
Te (0.360, 0.454, 0.450)
Te (0.640, 0.546, 0.550)
Te (0.640, 0.954, 0.050)
Te (0.988, 0.538, 0.128)
Te (0.988, 0.962, 0.628)

ΔE_f (raw)   -39.7 kJ/mol of atoms
Space group   No. 14
Total DFT energy (no corrections)   -3.166 eV per atom

Entry 5:
First-principles (PBE) data for a relaxed structure of Cs2Bi2Te3, as listed in Alexandria.

Cell lengths 4.487, 8.634, 8.893 Å; angles 96.03, 104.12, 104.73 degrees
Atoms (fractional coordinates):
Cs (0.173, 0.250, 0.107)
Cs (0.827, 0.750, 0.893)
Bi (0.068, 0.740, 0.396)
Bi (0.932, 0.260, 0.604)
Te (0.398, 0.066, 0.728)
Te (0.500, 0.500, 0.500)
Te (0.602, 0.934, 0.272)

ΔE_f (raw)   -47.6 kJ/mol of atoms
Space group   No. 2
Total DFT energy (no corrections)   -3.192 eV per atom

Entry 6:
First-principles (PBE) data for a relaxed structure of CsBiTe2, as listed in Alexandria.

Cell lengths 4.672, 4.672, 9.702 Å; angles 90.00, 90.00, 120.00 degrees
Atoms (fractional coordinates):
Cs (0.000, 0.000, 0.000)
Bi (0.667, 0.333, 0.555)
Te (0.000, 0.000, 0.384)
Te (0.333, 0.667, 0.739)

ΔE_f (raw)   -52.2 kJ/mol of atoms
Space group   No. 156
Total DFT energy (no corrections)   -3.296 eV per atom

Q: Which formula does entry 6 have?
A: CsBiTe2